# 1
# Er3GaPd3, relaxed, DFT GGA-PBE
data_Er3GaPd3
_cell_length_a 4.060
_cell_length_b 10.250
_cell_length_c 14.239
_cell_angle_alpha 90.00
_cell_angle_beta 90.00
_cell_angle_gamma 90.00
_symmetry_space_group_name_H-M 'C m c m'
_symmetry_Int_Tables_number 63
_symmetry_space_group_name_Hall '-C 2c 2'
loop_
_atom_site_label
_atom_site_fract_x
_atom_site_fract_y
_atom_site_fract_z
Er1 0.000 0.022 0.250
Er2 0.000 0.297 0.103
Ga1 0.000 0.000 0.000
Pd1 0.000 0.254 0.750
Pd2 0.000 0.416 0.594
# Raw total energy ... -5.479 eV per atom
# Calculated formation energy ... -865 meV per atom
# D(E_F) ... 4.60 states/eV/f.u.

=====

# 2
# Er4Ga12Pd, relaxed, DFT GGA-PBE
data_Er4Ga12Pd
_cell_length_a 8.590
_cell_length_b 8.590
_cell_length_c 8.590
_cell_angle_alpha 90.00
_cell_angle_beta 90.00
_cell_angle_gamma 90.00
_symmetry_space_group_name_H-M 'I m -3 m'
_symmetry_Int_Tables_number 229
_symmetry_space_group_name_Hall '-I 4 2 3'
loop_
_atom_site_label
_atom_site_fract_x
_atom_site_fract_y
_atom_site_fract_z
Er1 0.250 0.250 0.250
Ga1 0.000 0.000 0.296
Ga2 0.000 0.250 0.500
Pd1 0.000 0.000 0.000
# Raw total energy ... -4.110 eV per atom
# Calculated formation energy ... -594 meV per atom
# D(E_F) ... 0.30 states/eV/f.u.

=====

# 3
# ErGa5Pd7, relaxed, DFT GGA-PBE
data_ErGa5Pd7
_cell_length_a 5.334
_cell_length_b 9.007
_cell_length_c 8.759
_cell_angle_alpha 90.00
_cell_angle_beta 90.00
_cell_angle_gamma 90.00
_symmetry_space_group_name_H-M 'I m m 2'
_symmetry_Int_Tables_number 44
loop_
_symmetry_equiv_pos_as_xyz
'x,y,z'
'-x,-y,z'
'-x,y,z'
'x,-y,z'
'x+1/2,y+1/2,z+1/2'
'-x+1/2,-y+1/2,z+1/2'
'-x+1/2,y+1/2,z+1/2'
'x+1/2,-y+1/2,z+1/2'
loop_
_atom_site_label
_atom_site_fract_x
_atom_site_fract_y
_atom_site_fract_z
Er1 0.000 0.000 0.000
Ga1 0.000 0.500 0.265
Ga2 0.246 0.259 0.739
Pd1 0.000 0.000 0.337
Pd2 0.000 0.000 0.664
Pd3 0.000 0.296 0.480
Pd4 0.000 0.338 0.002
Pd5 0.000 0.500 0.718
# Raw total energy ... -4.941 eV per atom
# Calculated formation energy ... -630 meV per atom
# D(E_F) ... 5.59 states/eV/f.u.

=====

# 4
# Er12GaPd6, relaxed, DFT GGA-PBE
data_Er12GaPd6
_cell_length_a 12.9336
_cell_length_b 12.9336
_cell_length_c 10.8956
_cell_angle_alpha 90.00
_cell_angle_beta 90.00
_cell_angle_gamma 120.00
_symmetry_space_group_name_H-M 'R -3'
_symmetry_Int_Tables_number 148
_symmetry_space_group_name_Hall '-R 3'
loop_
_atom_site_label
_atom_site_fract_x
_atom_site_fract_y
_atom_site_fract_z
Er1 0.0295 0.8191 0.3814
Er2 0.0382 0.8247 0.8871
Ga1 0.0000 0.0000 0.0000
Pd1 0.0411 0.7810 0.6400
# Raw total energy ... -5.173 eV per atom
# Calculated formation energy ... -492 meV per atom
# D(E_F) ... 18.14 states/eV/f.u.

=====

# 5
# Er6Ga2Pd, relaxed, DFT GGA-PBE
data_Er6Ga2Pd
_cell_length_a 9.505
_cell_length_b 9.619
_cell_length_c 9.957
_cell_angle_alpha 90.00
_cell_angle_beta 90.00
_cell_angle_gamma 90.00
_symmetry_space_group_name_H-M 'I m m m'
_symmetry_Int_Tables_number 71
_symmetry_space_group_name_Hall '-I 2 2'
loop_
_atom_site_label
_atom_site_fract_x
_atom_site_fract_y
_atom_site_fract_z
Er1 0.000 0.208 0.173
Er2 0.175 0.238 0.500
Er3 0.192 0.500 0.243
Ga1 0.000 0.000 0.376
Ga2 0.144 0.000 0.000
Pd1 0.000 0.500 0.000
Pd2 0.000 0.500 0.500
# Raw total energy ... -4.761 eV per atom
# Calculated formation energy ... -469 meV per atom
# Distance to the lowest polymorph of the same formula ... 0.0 meV/atom
# D(E_F) ... 7.72 states/eV/f.u.

=====

# 6
# Er2GaPd3, relaxed, DFT GGA-PBE
data_Er2GaPd3
_cell_length_a 11.272
_cell_length_b 7.620
_cell_length_c 5.739
_cell_angle_alpha 90.00
_cell_angle_beta 90.00
_cell_angle_gamma 90.00
_symmetry_space_group_name_H-M 'C m c 21'
_symmetry_Int_Tables_number 36
loop_
_symmetry_equiv_pos_as_xyz
'x,y,z'
'-x,-y,z+1/2'
'-x,y,z'
'x,-y,z+1/2'
'x+1/2,y+1/2,z'
'-x+1/2,-y+1/2,z+1/2'
'-x+1/2,y+1/2,z'
'x+1/2,-y+1/2,z+1/2'
loop_
_atom_site_label
_atom_site_fract_x
_atom_site_fract_y
_atom_site_fract_z
Er1 0.177 0.181 0.000
Ga1 0.000 0.281 0.499
Pd1 0.000 0.000 0.249
Pd2 0.130 0.500 0.249
# Raw total energy ... -5.399 eV per atom
# Calculated formation energy ... -777 meV per atom
# D(E_F) ... 2.69 states/eV/f.u.

=====

# 7
# Er2Ga3Pd2, relaxed, DFT GGA-PBE
data_Er2Ga3Pd2
_cell_length_a 9.909
_cell_length_b 4.370
_cell_length_c 6.653
_cell_angle_alpha 90.00
_cell_angle_beta 113.00
_cell_angle_gamma 90.00
_symmetry_space_group_name_H-M 'C 1 2/m 1'
_symmetry_Int_Tables_number 12
loop_
_symmetry_equiv_pos_as_xyz
'x,y,z'
'-x,-y,-z'
'-x,y,-z'
'x,-y,z'
'x+1/2,y+1/2,z'
'-x+1/2,-y+1/2,-z'
'-x+1/2,y+1/2,-z'
'x+1/2,-y+1/2,z'
loop_
_atom_site_label
_atom_site_fract_x
_atom_site_fract_y
_atom_site_fract_z
Er1 0.152 0.000 0.274
Ga1 0.000 0.500 0.500
Ga2 0.112 0.500 0.941
Pd1 0.136 0.000 0.718
# Raw total energy ... -4.869 eV per atom
# Calculated formation energy ... -784 meV per atom
# D(E_F) ... 4.20 states/eV/f.u.

=====

# 8
# Er2GaPd, relaxed, DFT GGA-PBE
data_Er2GaPd
_cell_length_a 3.3535
_cell_length_b 3.3535
_cell_length_c 29.1913
_cell_angle_alpha 90.00
_cell_angle_beta 90.00
_cell_angle_gamma 120.00
_symmetry_space_group_name_H-M 'R -3 m'
_symmetry_Int_Tables_number 166
_symmetry_space_group_name_Hall '-R 3 2"'
loop_
_atom_site_label
_atom_site_fract_x
_atom_site_fract_y
_atom_site_fract_z
Er1 0.0000 0.0000 0.0896
Ga1 0.0000 0.0000 0.5000
Pd1 0.0000 0.0000 0.0000
# Raw total energy ... -4.503 eV per atom
# Calculated formation energy ... -166 meV per atom
# D(E_F) ... 1.98 states/eV/f.u.

=====

# 9
# ErGa12Pd4, relaxed, DFT GGA-PBE
data_ErGa12Pd4
_cell_length_a 8.795
_cell_length_b 8.795
_cell_length_c 8.795
_cell_angle_alpha 90.00
_cell_angle_beta 90.00
_cell_angle_gamma 90.00
_symmetry_space_group_name_H-M 'I m -3'
_symmetry_Int_Tables_number 204
_symmetry_space_group_name_Hall '-I 2 2 3'
loop_
_atom_site_label
_atom_site_fract_x
_atom_site_fract_y
_atom_site_fract_z
Er1 0.000 0.000 0.000
Ga1 0.000 0.346 0.150
Pd1 0.250 0.250 0.250
# Raw total energy ... -3.862 eV per atom
# Calculated formation energy ... -235 meV per atom
# D(E_F) ... 11.65 states/eV/f.u.

=====

# 10
# Er4Ga3Pd, relaxed, DFT GGA-PBE
data_Er4Ga3Pd
_cell_length_a 3.825
_cell_length_b 4.337
_cell_length_c 11.018
_cell_angle_alpha 90.00
_cell_angle_beta 90.00
_cell_angle_gamma 90.00
_symmetry_space_group_name_H-M 'P m m 2'
_symmetry_Int_Tables_number 25
loop_
_symmetry_equiv_pos_as_xyz
'x,y,z'
'-x,-y,z'
'-x,y,z'
'x,-y,z'
loop_
_atom_site_label
_atom_site_fract_x
_atom_site_fract_y
_atom_site_fract_z
Er1 0.000 0.000 0.000
Er2 0.000 0.500 0.276
Er3 0.500 0.000 0.483
Er4 0.500 0.500 0.784
Ga1 0.000 0.000 0.710
Ga2 0.000 0.500 0.559
Ga3 0.500 0.500 0.055
Pd1 0.500 0.000 0.213
# Raw total energy ... -4.744 eV per atom
# Calculated formation energy ... -678 meV per atom
# D(E_F) ... 5.74 states/eV/f.u.

=====

# 11
# Er2Ga4Pd5, relaxed, DFT GGA-PBE
data_Er2Ga4Pd5
_cell_length_a 5.612
_cell_length_b 9.303
_cell_length_c 15.700
_cell_angle_alpha 90.00
_cell_angle_beta 90.00
_cell_angle_gamma 90.00
_symmetry_space_group_name_H-M 'F m m m'
_symmetry_Int_Tables_number 69
_symmetry_space_group_name_Hall '-F 2 2'
loop_
_atom_site_label
_atom_site_fract_x
_atom_site_fract_y
_atom_site_fract_z
Er1 0.000 0.000 0.125
Ga1 0.000 0.155 0.369
Pd1 0.000 0.000 0.500
Pd2 0.250 0.250 0.000
Pd3 0.250 0.250 0.250
# Raw total energy ... -4.993 eV per atom
# Calculated formation energy ... -703 meV per atom
# D(E_F) ... 5.58 states/eV/f.u.

=====

# 12
# Er3GaPd12, relaxed, DFT GGA-PBE
data_Er3GaPd12
_cell_length_a 4.085
_cell_length_b 4.085
_cell_length_c 16.026
_cell_angle_alpha 90.00
_cell_angle_beta 90.00
_cell_angle_gamma 90.00
_symmetry_space_group_name_H-M 'P 4/m m m'
_symmetry_Int_Tables_number 123
_symmetry_space_group_name_Hall '-P 4 2'
loop_
_atom_site_label
_atom_site_fract_x
_atom_site_fract_y
_atom_site_fract_z
Er1 0.000 0.000 0.000
Er2 0.000 0.000 0.257
Ga1 0.000 0.000 0.500
Pd1 0.000 0.500 0.128
Pd2 0.000 0.500 0.386
Pd3 0.500 0.500 0.000
Pd4 0.500 0.500 0.257
Pd5 0.500 0.500 0.500
# Raw total energy ... -5.728 eV per atom
# Calculated formation energy ... -789 meV per atom
# D(E_F) ... 11.90 states/eV/f.u.

=====

# 13
# Er2GaPd, relaxed, DFT GGA-PBE
data_Er2GaPd
_cell_length_a 3.525
_cell_length_b 3.525
_cell_length_c 6.966
_cell_angle_alpha 90.00
_cell_angle_beta 90.00
_cell_angle_gamma 90.00
_symmetry_space_group_name_H-M 'P 4/m m m'
_symmetry_Int_Tables_number 123
_symmetry_space_group_name_Hall '-P 4 2'
loop_
_atom_site_label
_atom_site_fract_x
_atom_site_fract_y
_atom_site_fract_z
Er1 0.000 0.000 0.243
Ga1 0.500 0.500 0.500
Pd1 0.500 0.500 0.000
# Raw total energy ... -5.095 eV per atom
# Calculated formation energy ... -758 meV per atom
# D(E_F) ... 2.33 states/eV/f.u.

=====

# 14
# ErGa2Pd, relaxed, DFT GGA-PBE
data_ErGa2Pd
_cell_length_a 4.400
_cell_length_b 6.623
_cell_length_c 5.506
_cell_angle_alpha 90.00
_cell_angle_beta 113.45
_cell_angle_gamma 90.00
_symmetry_space_group_name_H-M 'P 1 21/m 1'
_symmetry_Int_Tables_number 11
loop_
_symmetry_equiv_pos_as_xyz
'x,y,z'
'-x,-y,-z'
'-x,y+1/2,-z'
'x,-y+1/2,z'
loop_
_atom_site_label
_atom_site_fract_x
_atom_site_fract_y
_atom_site_fract_z
Er1 0.088 0.250 0.175
Ga1 0.372 0.053 0.745
Pd1 0.201 0.750 0.402
# Raw total energy ... -4.750 eV per atom
# Calculated formation energy ... -798 meV per atom
# D(E_F) ... 1.69 states/eV/f.u.

=====

# 15
# Er2Ga5Pd3, relaxed, DFT GGA-PBE
data_Er2Ga5Pd3
_cell_length_a 10.116
_cell_length_b 12.881
_cell_length_c 5.648
_cell_angle_alpha 90.00
_cell_angle_beta 90.00
_cell_angle_gamma 90.00
_symmetry_space_group_name_H-M 'I b a m'
_symmetry_Int_Tables_number 72
_symmetry_space_group_name_Hall '-I 2 2c'
loop_
_atom_site_label
_atom_site_fract_x
_atom_site_fract_y
_atom_site_fract_z
Er1 0.224 0.145 0.000
Ga1 0.000 0.000 0.250
Ga2 0.000 0.296 0.250
Ga3 0.175 0.408 0.000
Pd1 0.000 0.500 0.250
Pd2 0.091 0.148 0.500
# Raw total energy ... -4.730 eV per atom
# Calculated formation energy ... -746 meV per atom
# D(E_F) ... 4.64 states/eV/f.u.

=====

# 16
# Er2GaPd6, relaxed, DFT GGA-PBE
data_Er2GaPd6
_cell_length_a 13.537
_cell_length_b 7.537
_cell_length_c 3.542
_cell_angle_alpha 90.00
_cell_angle_beta 105.11
_cell_angle_gamma 90.00
_symmetry_space_group_name_H-M 'C 1 2/m 1'
_symmetry_Int_Tables_number 12
loop_
_symmetry_equiv_pos_as_xyz
'x,y,z'
'-x,-y,-z'
'-x,y,-z'
'x,-y,z'
'x+1/2,y+1/2,z'
'-x+1/2,-y+1/2,-z'
'-x+1/2,y+1/2,-z'
'x+1/2,-y+1/2,z'
loop_
_atom_site_label
_atom_site_fract_x
_atom_site_fract_y
_atom_site_fract_z
Er1 0.152 0.000 0.155
Ga1 0.000 0.500 0.500
Pd1 0.000 0.267 0.000
Pd2 0.166 0.297 0.667
# Raw total energy ... -5.408 eV per atom
# Calculated formation energy ... -596 meV per atom
# D(E_F) ... 3.42 states/eV/f.u.

=====

# 17
# ErGa2Pd, relaxed, DFT GGA-PBE
data_ErGa2Pd
_cell_length_a 4.110
_cell_length_b 4.110
_cell_length_c 4.436
_cell_angle_alpha 90.00
_cell_angle_beta 90.00
_cell_angle_gamma 90.00
_symmetry_space_group_name_H-M 'P 4/m m m'
_symmetry_Int_Tables_number 123
_symmetry_space_group_name_Hall '-P 4 2'
loop_
_atom_site_label
_atom_site_fract_x
_atom_site_fract_y
_atom_site_fract_z
Er1 0.000 0.000 0.000
Ga1 0.000 0.500 0.500
Pd1 0.500 0.500 0.000
# Raw total energy ... -4.557 eV per atom
# Calculated formation energy ... -604 meV per atom
# D(E_F) ... 3.06 states/eV/f.u.

=====

# 18
# Er5GaPd4, relaxed, DFT GGA-PBE
data_Er5GaPd4
_cell_length_a 3.490
_cell_length_b 3.490
_cell_length_c 17.476
_cell_angle_alpha 90.00
_cell_angle_beta 90.00
_cell_angle_gamma 90.00
_symmetry_space_group_name_H-M 'P 4/m m m'
_symmetry_Int_Tables_number 123
_symmetry_space_group_name_Hall '-P 4 2'
loop_
_atom_site_label
_atom_site_fract_x
_atom_site_fract_y
_atom_site_fract_z
Er1 0.000 0.000 0.000
Er2 0.000 0.000 0.198
Er3 0.000 0.000 0.396
Ga1 0.500 0.500 0.500
Pd1 0.500 0.500 0.099
Pd2 0.500 0.500 0.299
# Raw total energy ... -5.516 eV per atom
# Calculated formation energy ... -855 meV per atom
# D(E_F) ... 7.77 states/eV/f.u.

=====

# 19
# Er3Ga5Pd6, relaxed, DFT GGA-PBE
data_Er3Ga5Pd6
_cell_length_a 4.339
_cell_length_b 13.010
_cell_length_c 8.931
_cell_angle_alpha 90.00
_cell_angle_beta 90.00
_cell_angle_gamma 90.00
_symmetry_space_group_name_H-M 'P m m n'
_symmetry_Int_Tables_number 59
loop_
_symmetry_equiv_pos_as_xyz
'x,y,z'
'-x,-y,-z'
'-x+1/2,-y+1/2,z'
'x+1/2,y+1/2,-z'
'x+1/2,-y,-z'
'-x+1/2,y,z'
'-x,y+1/2,-z'
'x,-y+1/2,z'
loop_
_atom_site_label
_atom_site_fract_x
_atom_site_fract_y
_atom_site_fract_z
Er1 0.250 0.053 0.245
Er2 0.250 0.750 0.235
Ga1 0.250 0.094 0.873
Ga2 0.250 0.633 0.531
Ga3 0.250 0.750 0.786
Pd1 0.250 0.062 0.593
Pd2 0.250 0.250 0.050
Pd3 0.250 0.250 0.416
Pd4 0.250 0.598 0.978
# Raw total energy ... -5.108 eV per atom
# Calculated formation energy ... -824 meV per atom
# D(E_F) ... 7.26 states/eV/f.u.

=====

# 20
# Er3Ga12Pd, relaxed, DFT GGA-PBE
data_Er3Ga12Pd
_cell_length_a 4.260
_cell_length_b 4.260
_cell_length_c 16.339
_cell_angle_alpha 90.00
_cell_angle_beta 90.00
_cell_angle_gamma 90.00
_symmetry_space_group_name_H-M 'P 4/m m m'
_symmetry_Int_Tables_number 123
_symmetry_space_group_name_Hall '-P 4 2'
loop_
_atom_site_label
_atom_site_fract_x
_atom_site_fract_y
_atom_site_fract_z
Er1 0.000 0.000 0.000
Er2 0.000 0.000 0.263
Ga1 0.000 0.500 0.131
Ga2 0.000 0.500 0.392
Ga3 0.500 0.500 0.000
Ga4 0.500 0.500 0.256
Ga5 0.500 0.500 0.500
Pd1 0.000 0.000 0.500
# Raw total energy ... -3.889 eV per atom
# Calculated formation energy ... -439 meV per atom
# D(E_F) ... 6.26 states/eV/f.u.